1.
# LiMnRu2 PBE relaxed
data_LiMnRu2
_space_group_name_H-M_alt 'C m m m'
_space_group_IT_number 65
_space_group_name_Hall '-C 2 2'
_cell_length_a 2.853
_cell_length_b 4.461
_cell_length_c 8.652
_cell_angle_alpha 90.00
_cell_angle_beta 90.00
_cell_angle_gamma 90.00
loop_
_atom_site_label
_atom_site_type_symbol
_atom_site_fract_x
_atom_site_fract_y
_atom_site_fract_z
Li1 Li 0.000 0.000 0.000
Mn1 Mn 0.000 0.000 0.500
Ru1 Ru 0.000 0.500 0.262
# Crystal system = orthorhombic
# Formation energy = 20 kJ/mol of atoms


2.
# LiMnRu2 PBE relaxed
data_LiMnRu2
_space_group_name_H-M_alt 'C m m 2'
_space_group_IT_number 35
_cell_length_a 2.822
_cell_length_b 4.490
_cell_length_c 8.962
_cell_angle_alpha 90.00
_cell_angle_beta 90.00
_cell_angle_gamma 90.00
loop_
_space_group_symop_operation_xyz
'x,y,z'
'-x,-y,z'
'-x,y,z'
'x,-y,z'
'x+1/2,y+1/2,z'
'-x+1/2,-y+1/2,z'
'-x+1/2,y+1/2,z'
'x+1/2,-y+1/2,z'
loop_
_atom_site_label
_atom_site_type_symbol
_atom_site_fract_x
_atom_site_fract_y
_atom_site_fract_z
Li1 Li 0.000 0.000 0.000
Mn1 Mn 0.000 0.500 0.737
Ru1 Ru 0.000 0.000 0.504
Ru2 Ru 0.000 0.500 0.252
# Crystal system = orthorhombic
# Formation energy = 35 kJ/mol of atoms


3.
# LiMnRu2 PBE relaxed
data_LiMnRu2
_space_group_name_H-M_alt 'P 4 m m'
_space_group_IT_number 99
_cell_length_a 2.900
_cell_length_b 2.900
_cell_length_c 6.480
_cell_angle_alpha 90.00
_cell_angle_beta 90.00
_cell_angle_gamma 90.00
loop_
_space_group_symop_operation_xyz
'x,y,z'
'-y,x,z'
'-x,-y,z'
'y,-x,z'
'-x,y,z'
'y,x,z'
'x,-y,z'
'-y,-x,z'
loop_
_atom_site_label
_atom_site_type_symbol
_atom_site_fract_x
_atom_site_fract_y
_atom_site_fract_z
Li1 Li 0.000 0.000 0.000
Mn1 Mn 0.500 0.500 0.245
Ru1 Ru 0.000 0.000 0.514
Ru2 Ru 0.500 0.500 0.763
# Crystal system = tetragonal
# Formation energy = 26 kJ/mol of atoms


4.
# LiMn2Ru PBE relaxed
data_LiMn2Ru
_space_group_name_H-M_alt 'R -3 m'
_space_group_IT_number 166
_space_group_name_Hall '-R 3 2"'
_cell_length_a 2.5949
_cell_length_b 2.5949
_cell_length_c 26.4332
_cell_angle_alpha 90.00
_cell_angle_beta 90.00
_cell_angle_gamma 120.00
loop_
_atom_site_label
_atom_site_type_symbol
_atom_site_fract_x
_atom_site_fract_y
_atom_site_fract_z
Li1 Li 0.0000 0.0000 0.0000
Mn1 Mn 0.0000 0.0000 0.2457
Ru1 Ru 0.0000 0.0000 0.5000
# Crystal system = trigonal
# Formation energy = 31 kJ/mol of atoms


5.
# LiMnRu2 PBE relaxed
data_LiMnRu2
_space_group_name_H-M_alt 'F m -3 m'
_space_group_IT_number 225
_space_group_name_Hall '-F 4 2 3'
_cell_length_a 5.803
_cell_length_b 5.803
_cell_length_c 5.803
_cell_angle_alpha 90.00
_cell_angle_beta 90.00
_cell_angle_gamma 90.00
loop_
_atom_site_label
_atom_site_type_symbol
_atom_site_fract_x
_atom_site_fract_y
_atom_site_fract_z
Li1 Li 0.000 0.000 0.000
Mn1 Mn 0.000 0.000 0.500
Ru1 Ru 0.250 0.250 0.250
# Crystal system = cubic
# Formation energy = 17 kJ/mol of atoms


6.
# LiMn2Ru PBE relaxed
data_LiMn2Ru
_space_group_name_H-M_alt 'P 1 2/m 1'
_space_group_IT_number 10
_cell_length_a 2.520
_cell_length_b 4.026
_cell_length_c 4.733
_cell_angle_alpha 90.00
_cell_angle_beta 104.51
_cell_angle_gamma 90.00
loop_
_space_group_symop_operation_xyz
'x,y,z'
'-x,-y,-z'
'-x,y,-z'
'x,-y,z'
loop_
_atom_site_label
_atom_site_type_symbol
_atom_site_fract_x
_atom_site_fract_y
_atom_site_fract_z
Li1 Li 0.000 0.000 0.000
Mn1 Mn 0.258 0.500 0.769
Ru1 Ru 0.500 0.000 0.500
# Crystal system = monoclinic
# Formation energy = 29 kJ/mol of atoms


Result set for DOS(E_F): 8.00; 10.27; 3.86; 12.55; 13.56; 4.87 states/eV/cell, one per record in the order listed.